Entry 1:
# TlAgGeSeS2 | the Open Quantum Materials Database | GGA-PBE | optimized geometry
# Final energy: -3.73 eV/atom
data_TlAgGeSeS2
_chemical_formula_sum 'Tl4 Ag4 Ge4 Se4 S8'
_symmetry_space_group_name_H-M 'C m c m'
_symmetry_Int_Tables_number 63
_symmetry_space_group_name_Hall '-C 2c 2'
_cell_length_a 3.490
_cell_length_b 15.153
_cell_length_c 10.637
_cell_angle_alpha 90.00
_cell_angle_beta 90.00
_cell_angle_gamma 90.00
loop_
_atom_site_label
_atom_site_fract_x
_atom_site_fract_y
_atom_site_fract_z
Tl1 0.000 0.202 0.250
Ag1 0.000 0.125 0.750
Ge1 0.000 0.500 0.000
Se1 0.000 0.465 0.750
S1 0.000 0.115 0.521

Entry 2:
# KTe2PdAuSe | the Open Quantum Materials Database | GGA-PBE | optimized geometry
# Final energy: -3.55 eV/atom
data_KTe2PdAuSe
_chemical_formula_sum 'K4 Te8 Pd4 Au4 Se4'
_symmetry_space_group_name_H-M 'C m c m'
_symmetry_Int_Tables_number 63
_symmetry_space_group_name_Hall '-C 2c 2'
_cell_length_a 4.143
_cell_length_b 14.553
_cell_length_c 11.165
_cell_angle_alpha 90.00
_cell_angle_beta 90.00
_cell_angle_gamma 90.00
loop_
_atom_site_label
_atom_site_fract_x
_atom_site_fract_y
_atom_site_fract_z
K1 0.000 0.241 0.250
Te1 0.000 0.120 0.520
Pd1 0.000 0.500 0.000
Au1 0.000 0.072 0.750
Se1 0.000 0.455 0.750

Entry 3:
# PmNpTl | the Open Quantum Materials Database | GGA-PBE | optimized geometry
# M_tot: 21.0 μB/cell
# Excess energy over the best structure of this formula in the dataset: 0.000 eV/atom
data_PmNpTl
_chemical_formula_sum 'Pm4 Np4 Tl4'
_symmetry_space_group_name_H-M 'F -4 3 m'
_symmetry_Int_Tables_number 216
_symmetry_space_group_name_Hall 'F -4 2 3'
_cell_length_a 7.425
_cell_length_b 7.425
_cell_length_c 7.425
_cell_angle_alpha 90.00
_cell_angle_beta 90.00
_cell_angle_gamma 90.00
loop_
_atom_site_label
_atom_site_fract_x
_atom_site_fract_y
_atom_site_fract_z
Pm1 0.000 0.000 0.000
Np1 0.000 0.000 0.500
Tl1 0.250 0.250 0.750